Entry from Alexandria: a relaxed structure of Pr8OsPd3I4 (PBE).

abc: 8.5493 9.5687 8.5485
angles: 116.54 120.00 90.00
Closest atoms and distances in Å follow each position.
Atoms (fractional coordinates):
1 Pr 0.7763 0.3108 0.5527  1 Os 2.84, 2 Pd 2.95
2 Pr 0.2576 0.3105 0.0337  1 Os 2.84, 2 Pd 2.95-2.96
3 I 0.5000 0.0000 0.5000  6 Pr 3.51-3.56
4 Pr 0.2705 0.3123 0.5410  3 Pd 2.91
5 Pd 0.5000 0.5000 0.0000  6 Pr 2.91-2.95
6 Pd 0.0000 0.5000 0.5000  6 Pr 2.91-2.96
7 Pr 0.7295 0.6877 0.4590  3 Pd 2.91
8 I 0.0000 0.0000 0.0000  6 Pr 3.52-3.55
9 Pd 0.5000 0.5000 0.5000  6 Pr 2.91-2.96
10 Pr 0.2237 0.6892 0.4473  1 Os 2.84, 2 Pd 2.95
11 I 0.0000 0.0000 0.5000  6 Pr 3.51-3.56
12 Pr 0.7762 0.3105 0.0337  1 Os 2.84, 2 Pd 2.95-2.96
13 I 0.5000 0.0000 0.0000  6 Pr 3.61
14 Pr 0.2238 0.6895 0.9663  1 Os 2.84, 2 Pd 2.95-2.96
15 Pr 0.7424 0.6895 0.9663  1 Os 2.84, 2 Pd 2.95-2.96
16 Os 0.0000 0.5000 0.0000  6 Pr 2.84

Output
Density of states at the Fermi level in states/eV per cell: 9.86
Formation energy from raw total energies in eV/atom: -0.825